Here is a relaxed structure of CaYH from Alexandria via LeMat-Bulk. Energies are from PBE.

Computed properties:
Fermi-level density of states = 1.069 states/eV per atom
Energy relative to the lowest polymorph listed for this composition = 0.13 eV/f.u.
Raw total energy = -12.3 eV for the cell shown
V = 22.91 Å³/atom

a = 3.6630 Å, b = 3.6630 Å, c = 5.9157 Å
α = 90.00°, β = 90.00°, γ = 120.00°
Last column: nearest neighbours and their distance in Å.
Fractional coordinates of all 3 atoms:
Y: 0.3333 0.6667 0.5652  3 H 2.44
H: 0.6667 0.3333 0.3586  3 Y 2.44, 3 Ca 2.70
Ca: 0.0000 0.0000 0.0762  3 H 2.70

Here is a relaxed structure of Rb3CdO from Alexandria via LeMat-Bulk. Energies are from PBE.

Computed properties:
Energy relative to the elements, uncorrected = -0.5529 eV per atom
Fermi-level density of states = 0.345 states/eV per atom
Energy relative to the lowest polymorph listed for this composition = 0.00 eV/f.u.
Raw total energy = -23.1 eV for the cell shown
V = 43.44 Å³/atom

a = 5.5688 Å, b = 8.2113 Å, c = 10.5802 Å
α = 77.21°, β = 74.74°, γ = 70.18°
Last column: nearest neighbours and their distance in Å.
Fractional coordinates of all 10 atoms:
Rb: 0.4980 0.1205 0.8835  3 O 2.79-2.84
Rb: 0.9921 0.3994 0.6165  1 O 2.68
Rb: 0.9849 0.9402 0.0900  3 O 2.89
Rb: 0.7907 0.4218 0.9969  1 O 2.66
Rb: 0.1970 0.9229 0.6830  1 O 2.70
Rb: 0.4918 0.6929 0.3234  1 O 2.63
Cd: 0.7089 0.1631 0.4192  2 Cd 3.15
Cd: 0.2678 0.1916 0.2728  1 O 2.17
O: 0.4327 0.9825 0.1522  1 Cd 2.17
O: 0.9925 0.1732 0.8418  6 Rb 2.66-2.89